The following is a DFT calculation (PBE-GGA) of a relaxed MnInAs2Se crystal.

Cell lengths 4.560, 4.560, 5.446 Å; angles 90.00, 90.00, 90.00 degrees
Last column: magnetic moment on the atom in μB.
Atoms (fractional coordinates):
As  0.000  0.500  0.000  -0.18
As  0.500  0.000  0.000  -0.18
Mn  0.000  0.000  0.000  2.15
Se  0.000  0.000  0.500  -0.11
In  0.500  0.500  0.500  -0.01

Values from the calculation:
Energy relative to the elements, uncorrected, eV per atom: 0.18

=====

The following is a DFT calculation (PBE-GGA) of a relaxed MnInSiAs2 crystal.

Cell lengths 4.485, 5.096, 4.485 Å; angles 90.00, 90.00, 90.00 degrees
Atoms (fractional coordinates):
As  0.000  0.000  0.500
As  0.500  0.000  0.000
Mn  0.000  0.000  0.000
Si  0.500  0.500  0.500
In  0.000  0.500  0.000

Values from the calculation:
Energy relative to the elements, uncorrected, eV per atom: 0.56

=====

The following is a DFT calculation (PBE-GGA) of a relaxed InMoAs2 crystal.

Cell lengths 8.334, 8.334, 8.334 Å; angles 158.05, 156.29, 32.53 degrees
Atoms (fractional coordinates):
Mo  0.203  0.703  0.500
As  0.082  0.082  0.000
As  0.775  0.275  0.500
In  0.439  0.439  0.000

Values from the calculation:
ΔE_f, eV/atom: 0.0499

=====

The following is a DFT calculation (PBE-GGA) of a relaxed InMoAs2 crystal.

Cell lengths 2.963, 2.963, 9.769 Å; angles 90.00, 90.00, 105.52 degrees
Atoms (fractional coordinates):
Mo  0.500  0.500  0.755
As  0.000  0.000  0.941
As  0.500  0.500  0.283
In  0.000  0.000  0.521

Values from the calculation:
ΔE_f, eV/atom: 0.3121

=====

The following is a DFT calculation (PBE-GGA) of a relaxed InMoAs2 crystal.

Cell lengths 5.236, 5.236, 5.236 Å; angles 140.59, 122.62, 71.84 degrees
Atoms (fractional coordinates):
Mo  0.250  0.750  0.500
As  0.016  0.016  0.000
As  0.484  0.484  0.000
In  0.750  0.250  0.500

Values from the calculation:
ΔE_f, eV/atom: 0.3520

=====

The following is a DFT calculation (PBE-GGA) of a relaxed In4MoAs crystal.

Cell lengths 5.752, 5.752, 5.752 Å; angles 60.00, 60.00, 60.00 degrees
Atoms (fractional coordinates):
In  0.375  0.874  0.375
In  0.874  0.375  0.375
In  0.375  0.375  0.874
In  0.375  0.375  0.375
Mo  0.750  0.750  0.750
As  0.000  0.000  0.000

Values from the calculation:
ΔE_f, eV/atom: 0.7307

=====

The following is a DFT calculation (PBE-GGA) of a relaxed InMoAs2 crystal.

Cell lengths 5.460, 5.460, 5.460 Å; angles 136.90, 136.90, 62.60 degrees
Last column: magnetic moment on the atom in μB.
Atoms (fractional coordinates):
Mo  0.750  0.250  0.500  1.21
As  0.000  0.000  0.000  -0.03
As  0.250  0.750  0.500  -0.03
In  0.500  0.500  0.000  -0.02

Values from the calculation:
ΔE_f, eV/atom: 0.4802

=====

The following is a DFT calculation (PBE-GGA) of a relaxed InMoAs2 crystal.

Cell lengths 3.311, 3.311, 7.092 Å; angles 90.00, 90.00, 90.00 degrees
Atoms (fractional coordinates):
Mo  0.500  0.500  0.810
As  0.000  0.000  0.961
As  0.500  0.500  0.196
In  0.000  0.000  0.533

Values from the calculation:
ΔE_f, eV/atom: 0.1815

=====

The following is a DFT calculation (PBE-GGA) of a relaxed InMoAs2 crystal.

Cell lengths 3.194, 3.202, 8.322 Å; angles 66.68, 90.00, 90.00 degrees
Atoms (fractional coordinates):
Mo  0.500  0.750  0.750
As  0.000  0.056  0.940
As  0.000  0.444  0.560
In  0.500  0.250  0.250

Values from the calculation:
ΔE_f, eV/atom: -0.0636

=====

The following is a DFT calculation (PBE-GGA) of a relaxed InMo3As crystal.

Cell lengths 4.905, 4.905, 4.905 Å; angles 90.00, 90.00, 90.00 degrees
Last column: magnetic moment on the atom in μB.
Atoms (fractional coordinates):
Mo  0.000  0.500  0.000  0.32
Mo  0.000  0.000  0.500  0.75
Mo  0.500  0.000  0.000  0.38
As  0.500  0.500  0.500  -0.01
In  0.000  0.000  0.000  0.00

Values from the calculation:
ΔE_f, eV/atom: 2.4591

=====

The following is a DFT calculation (PBE-GGA) of a relaxed InMoAs3 crystal.

Cell lengths 4.945, 4.945, 4.945 Å; angles 90.00, 90.00, 90.00 degrees
Atoms (fractional coordinates):
Mo  0.000  0.000  0.000
As  0.000  0.500  0.000
As  0.000  0.000  0.500
As  0.500  0.000  0.000
In  0.500  0.500  0.500

Values from the calculation:
ΔE_f, eV/atom: 0.2989

=====

The following is a DFT calculation (PBE-GGA) of a relaxed InMoAs2 crystal.

Cell lengths 4.726, 4.726, 3.388 Å; angles 90.00, 90.00, 103.55 degrees
Atoms (fractional coordinates):
Mo  0.000  0.500  0.500
As  0.000  0.000  0.000
As  0.500  0.500  0.000
In  0.500  0.000  0.500

Values from the calculation:
ΔE_f, eV/atom: 0.4055